Below is a relaxed structure of KLiAgCl3, with properties calculated at the PBE-GGA level.

Computed properties:
**Raw total energy**: -3.29 eV/atom

Lattice parameters (Å, degrees): 8.372 4.065 9.391 90.00 105.39 90.00
Sites, in units of the cell vectors:
K: 0.201 0.250 0.227
K: 0.799 0.750 0.773
Li: 0.119 0.250 0.612
Li: 0.881 0.750 0.388
Ag: 0.348 0.750 0.883
Ag: 0.652 0.250 0.117
Cl: 0.115 0.250 0.864
Cl: 0.181 0.750 0.503
Cl: 0.470 0.750 0.186
Cl: 0.530 0.250 0.814
Cl: 0.819 0.250 0.497
Cl: 0.885 0.750 0.136



Below is a relaxed structure of K2LiAg2Cl6, with properties calculated at the PBE-GGA level.

Computed properties:
**Raw total energy**: -3.05 eV/atom

Lattice parameters (Å, degrees): 7.626 7.626 7.445 115.74 115.74 54.47
Sites, in units of the cell vectors:
K: 0.233 0.233 0.192
K: 0.767 0.767 0.808
Li: 0.000 0.000 0.500
Ag: 0.434 0.434 0.760
Ag: 0.566 0.566 0.240
Cl: 0.175 0.698 0.204
Cl: 0.231 0.231 0.616
Cl: 0.302 0.825 0.796
Cl: 0.698 0.175 0.204
Cl: 0.769 0.769 0.384
Cl: 0.825 0.302 0.796



Below is a relaxed structure of KLiAg2Cl8, with properties calculated at the PBE-GGA level.

Computed properties:
**Raw total energy**: -2.64 eV/atom

Lattice parameters (Å, degrees): 8.246 8.246 8.246 128.48 128.48 75.86
Sites, in units of the cell vectors:
K: 0.000 0.000 0.000
Li: 0.250 0.750 0.500
Ag: 0.500 0.500 0.000
Ag: 0.750 0.250 0.500
Cl: 0.042 0.364 0.928
Cl: 0.198 0.443 0.610
Cl: 0.412 0.802 0.245
Cl: 0.436 0.114 0.072
Cl: 0.557 0.167 0.755
Cl: 0.636 0.564 0.678
Cl: 0.833 0.588 0.390
Cl: 0.886 0.958 0.322



Below is a relaxed structure of K3LiAg2Cl9, with properties calculated at the PBE-GGA level.

Computed properties:
**Raw total energy**: -2.98 eV/atom

Lattice parameters (Å, degrees): 7.151 7.151 8.780 90.00 90.00 120.00
Sites, in units of the cell vectors:
K: 0.000 0.000 0.000
K: 0.333 0.667 0.644
K: 0.667 0.333 0.356
Li: 0.000 0.000 0.500
Ag: 0.333 0.667 0.168
Ag: 0.667 0.333 0.832
Cl: 0.000 0.500 0.000
Cl: 0.165 0.330 0.328
Cl: 0.165 0.835 0.328
Cl: 0.330 0.165 0.672
Cl: 0.500 0.000 0.000
Cl: 0.500 0.500 0.000
Cl: 0.670 0.835 0.328
Cl: 0.835 0.165 0.672
Cl: 0.835 0.670 0.672



Below is a relaxed structure of KLi2AgCl4, with properties calculated at the PBE-GGA level.

Computed properties:
**Raw total energy**: -3.33 eV/atom

Lattice parameters (Å, degrees): 7.026 7.026 14.406 90.00 90.00 147.53
Sites, in units of the cell vectors:
K: 0.148 0.852 0.750
K: 0.852 0.148 0.250
Li: 0.375 0.625 0.525
Li: 0.375 0.625 0.975
Li: 0.625 0.375 0.025
Li: 0.625 0.375 0.475
Ag: 0.137 0.863 0.250
Ag: 0.863 0.137 0.750
Cl: 0.000 0.000 0.000
Cl: 0.000 0.000 0.500
Cl: 0.248 0.752 0.103
Cl: 0.248 0.752 0.397
Cl: 0.481 0.519 0.750
Cl: 0.519 0.481 0.250
Cl: 0.752 0.248 0.603
Cl: 0.752 0.248 0.897



Below is a relaxed structure of KLiAg2Cl6, with properties calculated at the PBE-GGA level.

Computed properties:
**Raw total energy**: -2.94 eV/atom

Lattice parameters (Å, degrees): 6.797 7.016 7.033 64.57 71.38 65.96
Sites, in units of the cell vectors:
K: 0.000 0.000 0.000
Li: 0.437 0.712 0.428
Ag: 0.341 0.264 0.181
Ag: 0.847 0.715 0.680
Cl: 0.001 0.460 0.014
Cl: 0.080 0.943 0.565
Cl: 0.228 0.527 0.360
Cl: 0.475 0.964 0.038
Cl: 0.621 0.011 0.412
Cl: 0.627 0.487 0.743



Below is a relaxed structure of K2LuAgCl6, with properties calculated at the PBE-GGA level.

Computed properties:
**Raw total energy**: -3.85 eV/atom

Lattice parameters (Å, degrees): 7.489 7.489 7.489 60.00 60.00 60.00
Sites, in units of the cell vectors:
K: 0.250 0.250 0.250
K: 0.750 0.750 0.750
Lu: 0.000 0.000 0.000
Ag: 0.500 0.500 0.500
Cl: 0.243 0.243 0.757
Cl: 0.243 0.757 0.243
Cl: 0.243 0.757 0.757
Cl: 0.757 0.243 0.243
Cl: 0.757 0.243 0.757
Cl: 0.757 0.757 0.243



Below is a relaxed structure of K3MgAg2Cl9, with properties calculated at the PBE-GGA level.

Computed properties:
**Raw total energy**: -3.10 eV/atom

Lattice parameters (Å, degrees): 7.200 7.200 8.869 90.00 90.00 120.00
Sites, in units of the cell vectors:
K: 0.000 0.000 0.000
K: 0.333 0.667 0.653
K: 0.667 0.333 0.347
Mg: 0.000 0.000 0.500
Ag: 0.333 0.667 0.166
Ag: 0.667 0.333 0.834
Cl: 0.000 0.500 0.000
Cl: 0.163 0.327 0.336
Cl: 0.163 0.837 0.336
Cl: 0.327 0.163 0.664
Cl: 0.500 0.000 0.000
Cl: 0.500 0.500 0.000
Cl: 0.673 0.837 0.336
Cl: 0.837 0.163 0.664
Cl: 0.837 0.673 0.664



- Among the records above, which one has the highest raw total energy?
  KLiAg2Cl8



- What is the formula in the third record?
  KLiAg2Cl8